# 1
This record from Alexandria describes a geometry-optimized KBa2SrSb structure. The functional is GGA-PBE.

## Properties
- Energy relative to the elements, uncorrected: -0.38 eV per atom
- Calculated density: 2.82 Mg/m³
- SG: P4/mmm
- Energy: -2.5298 eV per atom
- N(E_F): 5.5 states/eV/f.u.
- Magnetization: 0.22 μB/f.u.

Unit cell a=6.8656 b=6.8656 c=6.5362 alpha=90.00 beta=90.00 gamma=90.00
Last column: nearest neighbours and their distance in Å.
Sites, in units of the cell vectors:
Sb1 0.0000 0.0000 0.0000  2 Sr 3.27, 4 Ba 3.43
K1 0.5000 0.5000 0.5000  8 Ba 4.74, 4 Sr 4.85
Ba1 0.0000 0.5000 0.0000  2 Sb 3.43
Ba2 0.5000 0.0000 0.0000  2 Sb 3.43
Sr1 0.0000 0.0000 0.5000  2 Sb 3.27

=====

# 2
This record from Alexandria describes a geometry-optimized PuSbPb structure. The functional is GGA-PBE.

## Properties
- Energy relative to the elements, uncorrected: -0.13 eV per atom
- Calculated density: 11.10 Mg/m³
- SG: P3m1
- Energy: -7.5183 eV per atom
- N(E_F): 11.6 states/eV/f.u.
- Magnetization: 6.03 μB/f.u.

Unit cell a=3.2914 b=5.4849 c=5.4849 alpha=120.00 beta=90.00 gamma=90.00
Last column: nearest neighbours and their distance in Å.
Sites, in units of the cell vectors:
Pb1 0.1682 0.3333 0.6667  3 Sb 3.17, 2 Pb 3.29
Sb1 0.1650 0.0000 0.0000  3 Pb 3.17, 2 Sb 3.29
Pu1 0.6669 0.6667 0.3333  2 Pu 3.29, 6 Sb 3.57, 6 Pb 3.57

=====

# 3
This record from Alexandria describes a geometry-optimized YB4Ir4 structure. The functional is GGA-PBE.

## Properties
- Calculated density: 13.68 Mg/m³
- SG: P4_2/nmc
- Energy: -8.1238 eV per atom
- ΔH_f (0 K): -4.50 eV/f.u.
- N(E_F): 3.5 states/eV/f.u.
- Magnetization: 0.00 μB/f.u.

Unit cell a=5.4074 b=5.4074 c=7.4832 alpha=90.00 beta=90.00 gamma=90.00
Last column: nearest neighbours and their distance in Å.
Sites, in units of the cell vectors:
Y1 0.0000 0.0000 0.0000  12 Ir 2.99-3.21, 12 B 3.08-3.14
Y2 0.5000 0.5000 0.5000  12 Ir 2.99-3.21, 12 B 3.08-3.14
B1 0.5000 0.8274 0.8460  1 B 1.87
B2 0.5000 0.1726 0.8460  1 B 1.87
B3 0.8274 0.5000 0.1540  1 B 1.87
B4 0.1726 0.5000 0.1540  1 B 1.87
B5 0.3274 0.0000 0.3460  1 B 1.87
B6 0.6726 0.0000 0.3460  1 B 1.87
B7 0.0000 0.3274 0.6540  1 B 1.87
B8 0.0000 0.6726 0.6540  1 B 1.87
Ir1 0.2508 0.5000 0.8561  5 B 2.23-2.27
Ir2 0.7492 0.5000 0.8561  5 B 2.23-2.27
Ir3 0.5000 0.7492 0.1439  5 B 2.23-2.27
Ir4 0.5000 0.2508 0.1439  5 B 2.23-2.27
Ir5 0.0000 0.7508 0.3561  5 B 2.23-2.27
Ir6 0.0000 0.2492 0.3561  5 B 2.23-2.27
Ir7 0.2492 0.0000 0.6439  5 B 2.23-2.27
Ir8 0.7508 0.0000 0.6439  5 B 2.23-2.27

=====

# 4
This record from Alexandria describes a geometry-optimized CsCaI3 structure. The functional is GGA-PBE.

## Properties
- Energy relative to the elements, uncorrected: -1.57 eV per atom
- Calculated density: 3.90 Mg/m³
- SG: P1
- Energy: -3.0668 eV per atom
- N(E_F): 0.0 states/eV/f.u.
- Magnetization: 0.00 μB/f.u.

Unit cell a=10.5985 b=4.6614 c=7.7891 alpha=53.27 beta=71.64 gamma=105.17
Last column: nearest neighbours and their distance in Å.
Sites, in units of the cell vectors:
Cs1 0.5279 0.8535 0.0902  5 I 3.86-4.04
I1 0.7877 0.5881 0.3306  2 Ca 3.15-3.16
I2 0.0426 0.9913 0.5761  2 Ca 3.12
I3 0.3223 0.4387 0.7970  2 Ca 3.21
Ca1 0.0499 0.5051 0.0688  6 I 3.12-3.21

=====

# 5
This record from Alexandria describes a geometry-optimized Dy4SiBi structure. The functional is GGA-PBE.

## Properties
- Energy relative to the elements, uncorrected: -0.37 eV per atom
- Calculated density: 8.31 Mg/m³
- SG: C2/c
- Energy: -4.9847 eV per atom
- N(E_F): 7.3 states/eV/f.u.
- Magnetization: 0.00 μB/f.u.

Unit cell a=6.1787 b=7.5142 c=8.4622 alpha=103.24 beta=111.41 gamma=90.00
Last column: nearest neighbours and their distance in Å.
Sites, in units of the cell vectors:
Dy1 0.5192 0.0567 0.8364  1 Si 2.74
Dy2 0.6828 0.4433 0.1636  1 Si 2.74
Dy3 0.4808 0.9433 0.1636  1 Si 2.74
Dy4 0.3172 0.5567 0.8364  1 Si 2.74
Dy5 0.9339 0.8588 0.6602  2 Si 2.83-2.86
Dy6 0.2737 0.6412 0.3398  2 Si 2.83-2.86
Dy7 0.0661 0.1412 0.3398  2 Si 2.83-2.86
Dy8 0.7263 0.3588 0.6602  2 Si 2.83-2.86
Si1 0.5000 0.0000 0.5000  6 Dy 2.74-2.86
Si2 0.0000 0.5000 0.5000  6 Dy 2.74-2.86
Bi1 0.8716 0.7500 0.0000  10 Dy 3.31-3.67
Bi2 0.1284 0.2500 0.0000  10 Dy 3.31-3.67

=====

# 6
This record from Alexandria describes a geometry-optimized La3Bi5S12 structure. The functional is GGA-PBE.

## Properties
- Energy relative to the elements, uncorrected: -0.94 eV per atom
- Calculated density: 5.28 Mg/m³
- SG: Ia-3d
- Energy: -5.1229 eV per atom
- Magnetization: 0.00 μB/f.u.

Unit cell a=14.4467 b=14.4467 c=14.4467 alpha=109.47 beta=109.47 gamma=109.47
Last column: nearest neighbours and their distance in Å.
Sites, in units of the cell vectors:
La1 0.7500 0.3750 0.1250  8 S 3.08
La2 0.8750 0.7500 0.1250  8 S 3.08
La3 0.3750 0.7500 0.6250  8 S 3.08
La4 0.2500 0.1250 0.3750  8 S 3.08
La5 0.8750 0.1250 0.2500  8 S 3.08
La6 0.3750 0.6250 0.2500  8 S 3.08
La7 0.6250 0.3750 0.7500  8 S 3.08
La8 0.1250 0.8750 0.7500  8 S 3.08
La9 0.7500 0.8750 0.6250  8 S 3.08
La10 0.6250 0.2500 0.3750  8 S 3.08
La11 0.1250 0.2500 0.8750  8 S 3.08
La12 0.2500 0.6250 0.8750  8 S 3.08
Bi1 0.1250 0.3750 0.2500  4 S 2.67
Bi2 0.0000 0.5000 0.0000  6 S 2.81
Bi3 0.0000 0.0000 0.0000  6 S 2.81
Bi4 0.3750 0.2500 0.1250  4 S 2.67
Bi5 0.5000 0.0000 0.5000  6 S 2.81
Bi6 0.5000 0.5000 0.0000  6 S 2.81
Bi7 0.1250 0.7500 0.3750  4 S 2.67
Bi8 0.7500 0.1250 0.8750  4 S 2.67
Bi9 0.7500 0.6250 0.3750  4 S 2.67
Bi10 0.3750 0.1250 0.7500  4 S 2.67
Bi11 0.6250 0.8750 0.2500  4 S 2.67
Bi12 0.5000 0.5000 0.5000  6 S 2.81
Bi13 0.5000 0.0000 0.0000  6 S 2.81
Bi14 0.0000 0.0000 0.5000  6 S 2.81
Bi15 0.2500 0.3750 0.6250  4 S 2.67
Bi16 0.2500 0.8750 0.1250  4 S 2.67
Bi17 0.0000 0.5000 0.5000  6 S 2.81
Bi18 0.8750 0.2500 0.6250  4 S 2.67
Bi19 0.6250 0.7500 0.8750  4 S 2.67
Bi20 0.8750 0.6250 0.7500  4 S 2.67
S1 0.7215 0.1364 0.0513  2 Bi 2.67-2.81
S2 0.3297 0.5513 0.4149  2 Bi 2.67-2.81
S3 0.9487 0.3636 0.2785  2 Bi 2.67-2.81
S4 0.5513 0.2215 0.1364  2 Bi 2.67-2.81
S5 0.5852 0.7215 0.6703  2 Bi 2.67-2.81
S6 0.9487 0.5851 0.1703  2 Bi 2.67-2.81
S7 0.3297 0.7785 0.4148  2 Bi 2.67-2.81
S8 0.0851 0.9148 0.1364  2 Bi 2.67-2.81
S9 0.5851 0.9487 0.6703  2 Bi 2.67-2.81
S10 0.7215 0.5852 0.1703  2 Bi 2.67-2.81
S11 0.7785 0.4487 0.3636  2 Bi 2.67-2.81
S12 0.8297 0.9149 0.0513  2 Bi 2.67-2.81
S13 0.1364 0.7215 0.5513  2 Bi 2.67-2.81
S14 0.3636 0.4149 0.0852  2 Bi 2.67-2.81
S15 0.0852 0.9149 0.3636  2 Bi 2.67-2.81
S16 0.4148 0.1364 0.5851  2 Bi 2.67-2.81
S17 0.0852 0.1703 0.2215  2 Bi 2.67-2.81
S18 0.4487 0.6703 0.0851  2 Bi 2.67-2.81
S19 0.8297 0.9148 0.2785  2 Bi 2.67-2.81
S20 0.1364 0.4148 0.0851  2 Bi 2.67-2.81
S21 0.3636 0.9487 0.7785  2 Bi 2.67-2.81
S22 0.5851 0.6364 0.4148  2 Bi 2.67-2.81
S23 0.9149 0.8297 0.5513  2 Bi 2.67-2.81
S24 0.7785 0.3297 0.9148  2 Bi 2.67-2.81
S25 0.4149 0.3636 0.5852  2 Bi 2.67-2.81
S26 0.0851 0.1703 0.4487  2 Bi 2.67-2.81
S27 0.2215 0.6703 0.0852  2 Bi 2.67-2.81
S28 0.1703 0.0852 0.7215  2 Bi 2.67-2.81
S29 0.6364 0.0513 0.2215  2 Bi 2.67-2.81
S30 0.8636 0.5852 0.9149  2 Bi 2.67-2.81
S31 0.5513 0.3297 0.9149  2 Bi 2.67-2.81
S32 0.5852 0.8636 0.4149  2 Bi 2.67-2.81
S33 0.9148 0.8297 0.7785  2 Bi 2.67-2.81
S34 0.9148 0.0851 0.6364  2 Bi 2.67-2.81
S35 0.8636 0.2785 0.4487  2 Bi 2.67-2.81
S36 0.1703 0.0851 0.9487  2 Bi 2.67-2.81
S37 0.6364 0.5851 0.9148  2 Bi 2.67-2.81
S38 0.4149 0.0513 0.3297  2 Bi 2.67-2.81
S39 0.2785 0.4148 0.8297  2 Bi 2.67-2.81
S40 0.2215 0.5513 0.6364  2 Bi 2.67-2.81
S41 0.9149 0.0852 0.8636  2 Bi 2.67-2.81
S42 0.6703 0.2215 0.5852  2 Bi 2.67-2.81
S43 0.4487 0.7785 0.8636  2 Bi 2.67-2.81
S44 0.0513 0.4149 0.8297  2 Bi 2.67-2.81
S45 0.4148 0.2785 0.3297  2 Bi 2.67-2.81
S46 0.0513 0.6364 0.7215  2 Bi 2.67-2.81
S47 0.6703 0.4487 0.5851  2 Bi 2.67-2.81
S48 0.2785 0.8636 0.9487  2 Bi 2.67-2.81

=====

# 7
This record from Alexandria describes a geometry-optimized KHf2FeSi structure. The functional is GGA-PBE.

## Properties
- Energy relative to the elements, uncorrected: 0.45 eV per atom
- Calculated density: 7.35 Mg/m³
- SG: P4/mmm
- Energy: -6.5290 eV per atom
- N(E_F): 4.3 states/eV/f.u.
- Magnetization: 0.00 μB/f.u.

Unit cell a=4.8970 b=4.5241 c=4.8970 alpha=90.00 beta=90.00 gamma=90.00
Last column: nearest neighbours and their distance in Å.
Sites, in units of the cell vectors:
Si1 0.0000 0.5000 0.0000  2 Fe 2.26
K1 0.5000 0.5000 0.5000  8 Hf 3.33, 4 Si 3.46
Hf1 0.0000 0.0000 0.5000  2 Fe 2.45
Hf2 0.5000 0.0000 0.0000  2 Fe 2.45
Fe1 0.0000 0.0000 0.0000  2 Si 2.26, 4 Hf 2.45

=====

# 8
This record from Alexandria describes a geometry-optimized CaTiC3 structure. The functional is GGA-PBE.

## Properties
- Calculated density: 3.04 Mg/m³
- SG: Pm-3m
- Energy: -6.5102 eV per atom
- ΔH_f (0 K): 5.02 eV/f.u.
- N(E_F): 2.0 states/eV/f.u.
- Magnetization: 0.00 μB/f.u.

Unit cell a=4.0767 b=4.0767 c=4.0767 alpha=90.00 beta=90.00 gamma=90.00
Last column: nearest neighbours and their distance in Å.
Sites, in units of the cell vectors:
Ca1 0.5000 0.5000 0.5000  12 C 2.88
C1 0.0000 0.5000 0.0000  2 Ti 2.04
C2 0.0000 0.0000 0.5000  2 Ti 2.04
C3 0.5000 0.0000 0.0000  2 Ti 2.04
Ti1 0.0000 0.0000 0.0000  6 C 2.04